[1]
Computed, not measured: a geometry-optimized BaFe2IrOs structure at the PBE level of DFT.

Cell: 4.5610 5.0025 4.5610 Å, 90.00 90.00 90.00°
With the nearest neighbours (Å) after each atom.
Atoms (fractional coordinates):
Ir (0.0000, 0.5000, 0.0000)  2 Ba 2.50
Fe (0.5000, 0.0000, 0.0000)  2 Ba 2.28
Fe (0.0000, 0.0000, 0.5000)  2 Ba 2.28
Ba (0.0000, 0.0000, 0.0000)  4 Fe 2.28, 2 Ir 2.50
Os (0.5000, 0.5000, 0.5000)  4 Ir 3.23, 8 Fe 3.38

Raw total energy ... -4.480 eV per atom
Space group ... P4/mmm

---

[2]
Computed, not measured: a geometry-optimized BaTaFe2Ir structure at the PBE level of DFT.

Cell: 4.6804 5.0773 4.6804 Å, 90.00 90.00 90.00°
With the nearest neighbours (Å) after each atom.
Atoms (fractional coordinates):
Ir (0.0000, 0.5000, 0.0000)  2 Ba 2.54
Ba (0.0000, 0.0000, 0.0000)  4 Fe 2.34, 2 Ir 2.54
Fe (0.5000, 0.0000, 0.0000)  2 Ba 2.34
Fe (0.0000, 0.0000, 0.5000)  2 Ba 2.34
Ta (0.5000, 0.5000, 0.5000)  4 Ir 3.31, 8 Fe 3.45

Raw total energy ... -5.271 eV per atom
Space group ... P4/mmm

---

Computed ρ (g cm⁻³) in order:
10.1 9.3
Computed calculated formation energy (eV per atom) in order:
3.3073 2.6416